# 1
Below is a relaxed CuSiTe3 crystal, with properties calculated at the GGA-PBE level.

Calculated values
- space-group type = P-1, No. 2
- formation energy (no corrections) (eV/atom) = 0.09
- total DFT energy (no corrections) (eV for the cell shown) = -36.9
- total magnetic moment (μB per atom) = 0.000

a b c (Å): 6.676 6.816 7.053
angles (deg): 115.40 90.68 115.44
Sites, in units of the cell vectors:
Cu (0.110, 0.242, 0.422)
Cu (0.890, 0.758, 0.578)
Si (0.332, 0.690, 0.024)
Si (0.668, 0.310, 0.976)
Te (0.069, 0.523, 0.274)
Te (0.260, 0.208, 0.762)
Te (0.441, 0.170, 0.265)
Te (0.559, 0.830, 0.735)
Te (0.740, 0.792, 0.238)
Te (0.931, 0.477, 0.726)

---

# 2
Below is a relaxed CuSi4Te crystal, with properties calculated at the GGA-PBE level.

Calculated values
- space-group type = F-43m, No. 216
- formation energy (no corrections) (eV/atom) = 0.66
- total DFT energy (no corrections) (eV for the cell shown) = -25.0
- total magnetic moment (μB per atom) = 0.000

a b c (Å): 5.262 5.262 5.262
angles (deg): 60.00 60.00 60.00
Sites, in units of the cell vectors:
Cu (0.000, 0.000, 0.000)
Si (0.120, 0.627, 0.627)
Si (0.627, 0.120, 0.627)
Si (0.627, 0.627, 0.120)
Si (0.627, 0.627, 0.627)
Te (0.250, 0.250, 0.250)

---

# 3
Below is a relaxed Cu2Si2Te crystal, with properties calculated at the GGA-PBE level.

Calculated values
- space-group type = P4/mbm, No. 127
- formation energy (no corrections) (eV/atom) = 0.32
- total DFT energy (no corrections) (eV for the cell shown) = -41.2
- total magnetic moment (μB per atom) = 0.000

a b c (Å): 7.642 7.642 2.860
angles (deg): 90.00 90.00 90.00
Sites, in units of the cell vectors:
Cu (0.168, 0.332, 0.000)
Cu (0.332, 0.832, 0.000)
Cu (0.668, 0.168, 0.000)
Cu (0.832, 0.668, 0.000)
Si (0.118, 0.618, 0.500)
Si (0.382, 0.118, 0.500)
Si (0.618, 0.882, 0.500)
Si (0.882, 0.382, 0.500)
Te (0.000, 0.000, 0.000)
Te (0.500, 0.500, 0.000)

---

# 4
Below is a relaxed Cu2Si2Te crystal, with properties calculated at the GGA-PBE level.

Calculated values
- space-group type = I4/mmm, No. 139
- formation energy (no corrections) (eV/atom) = 0.23
- total DFT energy (no corrections) (eV for the cell shown) = -21.0
- total magnetic moment (μB per atom) = 0.000

a b c (Å): 6.312 6.312 6.312
angles (deg): 144.88 144.88 50.51
Sites, in units of the cell vectors:
Cu (0.112, 0.112, 0.000)
Cu (0.888, 0.888, 0.000)
Si (0.250, 0.750, 0.500)
Si (0.750, 0.250, 0.500)
Te (0.500, 0.500, 0.000)

---

# 5
Below is a relaxed CuSiTe3 crystal, with properties calculated at the GGA-PBE level.

Calculated values
- space-group type = Pm-3m, No. 221
- formation energy (no corrections) (eV/atom) = 0.75
- total DFT energy (no corrections) (eV for the cell shown) = -15.2
- total magnetic moment (μB per atom) = 0.000

a b c (Å): 5.217 5.217 5.217
angles (deg): 90.00 90.00 90.00
Sites, in units of the cell vectors:
Cu (0.000, 0.000, 0.000)
Si (0.500, 0.500, 0.500)
Te (0.000, 0.500, 0.500)
Te (0.500, 0.000, 0.500)
Te (0.500, 0.500, 0.000)

---

# 6
Below is a relaxed Cu2SiTe4 crystal, with properties calculated at the GGA-PBE level.

Calculated values
- space-group type = I-42m, No. 121
- formation energy (no corrections) (eV/atom) = -0.04
- total DFT energy (no corrections) (eV for the cell shown) = -26.4
- total magnetic moment (μB per atom) = 0.000

a b c (Å): 6.976 6.976 6.976
angles (deg): 129.53 129.53 74.17
Sites, in units of the cell vectors:
Cu (0.250, 0.750, 0.500)
Cu (0.750, 0.250, 0.500)
Si (0.000, 0.000, 0.000)
Te (0.141, 0.620, 0.000)
Te (0.380, 0.380, 0.521)
Te (0.620, 0.141, 0.000)
Te (0.859, 0.859, 0.479)